DFT (PBE) results for Pm3YRh4 after structural relaxation.

Cell: 3.4279 4.9932 10.0011 Å, 90.00 90.00 90.00°
Last column: nearest neighbours and their distance in Å.
Space group Pmmm (No. 47)
Inequivalent atoms, fractional coordinates:
Pm (0.0000, 0.0000, 0.0000) (multiplicity 1)  8 Rh 3.03-3.07
Pm (0.0000, 0.5000, 0.2525) (multiplicity 2)  8 Rh 3.01-3.05
Y (0.0000, 0.0000, 0.5000) (multiplicity 1)  8 Rh 2.99-3.03
Rh (0.5000, 0.0000, 0.2549) (multiplicity 2)  2 Y 2.99, 6 Pm 3.03-3.07
Rh (0.5000, 0.5000, 0.0000) (multiplicity 1)  8 Pm 3.03-3.05
Rh (0.5000, 0.5000, 0.5000) (multiplicity 1)  4 Pm 3.01, 4 Y 3.03

Summary:
DFT formation energy = -719 meV per atom
crystal system = orthorhombic
total magnetization = 0.0 μB per cell